No. 1
Computed, not measured: PmTeH after structural relaxation at the PBE level of DFT.

Summary:
The mass density comes out at 6833 kg/m³.

Cell lengths 3.5216, 3.5216, 5.9117 Å; angles 107.33, 107.33, 90.00 degrees
Positions (direct):
1 H 0.2777 0.2777 0.5553
2 Te 0.0102 0.0102 0.0205
3 Pm 0.7121 0.7121 0.4242



No. 2
Computed, not measured: Pm2Te3H after structural relaxation at the PBE level of DFT.

Summary:
The mass density comes out at 7011 kg/m³.

Cell lengths 4.1624, 12.9218, 11.8678 Å; angles 90.00, 90.00, 90.00 degrees
Positions (direct):
1 Pm 0.2500 0.6735 0.4429
2 Pm 0.7500 0.3265 0.5571
3 Pm 0.7500 0.1735 0.0571
4 Pm 0.2500 0.8265 0.9429
5 Pm 0.2500 0.0163 0.2999
6 Pm 0.7500 0.9837 0.7001
7 Pm 0.7500 0.5163 0.2001
8 Pm 0.2500 0.4837 0.7999
9 Te 0.2500 0.3733 0.0631
10 Te 0.7500 0.6267 0.9369
11 Te 0.7500 0.8733 0.4369
12 Te 0.2500 0.1267 0.5631
13 Te 0.2500 0.6977 0.1779
14 Te 0.7500 0.3023 0.8221
15 Te 0.7500 0.1977 0.3221
16 Te 0.2500 0.8023 0.6779
17 Te 0.2500 0.4332 0.3836
18 Te 0.7500 0.5668 0.6164
19 Te 0.7500 0.9332 0.1164
20 Te 0.2500 0.0668 0.8836
21 H 0.2500 0.1213 0.1379
22 H 0.7500 0.8787 0.8621
23 H 0.7500 0.6213 0.3621
24 H 0.2500 0.3787 0.6379



No. 3
Computed, not measured: Pm3Te2H after structural relaxation at the PBE level of DFT.

Summary:
The mass density comes out at 6173 kg/m³.

Cell lengths 6.2007, 8.2764, 8.2764 Å; angles 118.89, 90.00, 90.00 degrees
Positions (direct):
1 Pm 0.9683 0.8683 0.5879
2 Pm 0.4683 0.4121 0.1317
3 Pm 0.9683 0.5879 0.8683
4 Pm 0.4683 0.1317 0.4121
5 Pm 0.4748 0.9076 0.9076
6 Pm 0.9748 0.0924 0.0924
7 Te 0.4698 0.8020 0.4908
8 Te 0.9698 0.5092 0.1980
9 Te 0.4698 0.4908 0.8020
10 Te 0.9698 0.1980 0.5092
11 H 0.1069 0.8330 0.8330
12 H 0.6069 0.1670 0.1670



No. 4
Computed, not measured: Pm3TeH3 after structural relaxation at the PBE level of DFT.

Summary:
The mass density comes out at 7083 kg/m³.

Cell lengths 6.4247, 6.4247, 6.4247 Å; angles 90.00, 90.00, 90.00 degrees
Positions (direct):
1 H 0.2500 0.0000 0.5000
2 H 0.0000 0.5000 0.2500
3 H 0.5000 0.7500 0.0000
4 H 0.7500 0.0000 0.5000
5 H 0.0000 0.5000 0.7500
6 H 0.5000 0.2500 0.0000
7 Te 0.5000 0.5000 0.5000
8 Te 0.0000 0.0000 0.0000
9 Pm 0.0000 0.2500 0.5000
10 Pm 0.0000 0.7500 0.5000
11 Pm 0.5000 0.0000 0.7500
12 Pm 0.7500 0.5000 0.0000
13 Pm 0.5000 0.0000 0.2500
14 Pm 0.2500 0.5000 0.0000



No. 5
Computed, not measured: PmTeH after structural relaxation at the PBE level of DFT.

Summary:
The mass density comes out at 7219 kg/m³.

Cell lengths 4.3105, 4.1060, 4.1060 Å; angles 120.00, 90.00, 90.00 degrees
Positions (direct):
1 H 0.1668 0.0000 0.0000
2 Te 0.6666 0.3333 0.6667
3 Pm 0.1666 0.6667 0.3333



No. 6
Computed, not measured: PmTeH after structural relaxation at the PBE level of DFT.

Summary:
The mass density comes out at 6945 kg/m³.

Cell lengths 3.9850, 5.9395, 11.0565 Å; angles 90.00, 90.00, 90.00 degrees
Positions (direct):
1 H 0.4999 0.8443 0.5304
2 H 0.0001 0.1557 0.0304
3 H 0.5001 0.3443 0.9696
4 H 0.9999 0.6557 0.4696
5 Te 0.5000 0.3524 0.6490
6 Te 0.0000 0.6476 0.1490
7 Te 0.5000 0.8524 0.8510
8 Te 0.0000 0.1476 0.3510
9 Pm 0.9999 0.9152 0.6167
10 Pm 0.5001 0.0848 0.1167
11 Pm 0.0001 0.4152 0.8833
12 Pm 0.4999 0.5848 0.3833



| no. | E (eV per cell) |
| --- | --- |
| 1 | -12.9 |
| 2 | -115.9 |
| 3 | -58.1 |
| 4 | -63.7 |
| 5 | -14.9 |
| 6 | -57.9 |